Record 1
DFT (PBE) results for a relaxed structure of VGe2Mo.

Lattice parameters (Å, degrees): 2.8822 2.8822 27.8572 90.00 90.00 120.00
Space group R-3m (No. 166, hexagonal axes)
Inequivalent atoms, fractional coordinates:
V (0.0000, 0.0000, 0.0000) x3
Ge (0.0000, 0.0000, 0.0905) x6
Mo (0.0000, 0.0000, 0.5000) x3

Record 2
DFT (PBE) results for a relaxed structure of RbSrVCo2.

Lattice parameters (Å, degrees): 4.582 4.582 5.501 90.00 90.00 90.00
Space group P4/mmm (No. 123)
Inequivalent atoms, fractional coordinates:
Rb (0.000, 0.000, 0.000) x1
Sr (0.500, 0.500, 0.000) x1
V (0.000, 0.000, 0.500) x1
Co (0.000, 0.500, 0.500) x2

Record 3
DFT (PBE) results for a relaxed structure of GdPu2Pb.

Lattice parameters (Å, degrees): 4.642 4.642 5.166 90.00 90.00 90.00
Space group P4/mmm (No. 123)
Inequivalent atoms, fractional coordinates:
Gd (0.000, 0.000, 0.000) x1
Pu (0.000, 0.500, 0.500) x2
Pb (0.500, 0.500, 0.000) x1

| no. | uncorrected energy (eV/atom) | DOS(E_F) (states/eV/f.u.) | energy relative to the elements (meV per atom) |
| --- | --- | --- | --- |
| 1 | -6.92 | 5.1 | 372 |
| 2 | -4.06 | 5.3 | 1133 |
| 3 | -11.79 | 11.0 | -178 |